No. 1
Here is Ce6PuMnPb2 after structural relaxation from Alexandria via LeMat-Bulk. Energies are from PBE-GGA.

Cell lengths 7.2042, 7.2042, 7.2042 Å; angles 119.93, 119.93, 90.12 degrees
Closest atoms and distances in Å follow each position.
Positions (direct):
Ce: 0.2433 0.2433 0.4867  1 Pu 2.48, 1 Mn 2.62
Ce: 0.2433 0.7567 0.0000  1 Pu 2.48, 1 Mn 2.62
Ce: 0.2440 0.2440 0.0000  1 Pu 2.48, 1 Mn 2.61
Ce: 0.7560 0.7560 0.0000  1 Pu 2.48, 1 Mn 2.61
Ce: 0.7567 0.2433 0.0000  1 Pu 2.48, 1 Mn 2.62
Ce: 0.7567 0.7567 0.5133  1 Pu 2.48, 1 Mn 2.62
Pu: 0.0000 0.0000 0.0000  6 Ce 2.48
Mn: 0.5000 0.5000 0.0000  6 Ce 2.61-2.62
Pb: 0.2500 0.7500 0.5000  12 Ce 3.60-3.61
Pb: 0.7500 0.2500 0.5000  12 Ce 3.60-3.61

## Properties
Energy of formation from the pure elements ... -311 meV per atom
DFT total energy ... -6.96 eV per atom

No. 2
Here is RbNpCoN3 after structural relaxation from Alexandria via LeMat-Bulk. Energies are from PBE-GGA.

Cell lengths 7.9599, 3.4812, 8.1868 Å; angles 90.00, 108.86, 90.00 degrees
Closest atoms and distances in Å follow each position.
Positions (direct):
Rb: 0.2090 0.2500 0.2373  7 N 3.12-3.38, 2 Co 3.39, 2 Rb 3.48
Rb: 0.7910 0.7500 0.7627  7 N 3.12-3.38, 2 Co 3.39, 2 Rb 3.48
Np: 0.3319 0.7500 0.8454  6 N 2.18-2.26
Np: 0.6681 0.2500 0.1546  6 N 2.18-2.26
Co: 0.0673 0.2500 0.6008  4 N 1.85-1.91
Co: 0.9327 0.7500 0.3992  4 N 1.85-1.91
N: 0.1517 0.7500 0.5696  3 Co 1.85-1.91
N: 0.1677 0.2500 0.8455  1 Co 1.90
N: 0.4884 0.7500 0.1302  3 Np 2.22-2.26
N: 0.5116 0.2500 0.8698  3 Np 2.22-2.26
N: 0.8323 0.7500 0.1545  1 Co 1.90
N: 0.8483 0.2500 0.4304  3 Co 1.85-1.91

## Properties
Formation energy (no corrections) ... -505 meV/atom
DFT total energy ... -8.17 eV per atom

No. 3
Here is Cs2TlSe2 after structural relaxation from Alexandria via LeMat-Bulk. Energies are from PBE-GGA.

Cell lengths 10.3005, 10.3005, 3.7511 Å; angles 90.00, 90.00, 90.00 degrees
Closest atoms and distances in Å follow each position.
Positions (direct):
Cs: 0.1256 0.3744 0.0000  6 Se 3.47-3.65, 3 Cs 3.66-3.75
Cs: 0.3744 0.8744 0.0000  6 Se 3.47-3.65, 3 Cs 3.66-3.75
Cs: 0.6256 0.1256 0.0000  6 Se 3.47-3.65, 3 Cs 3.66-3.75
Cs: 0.8744 0.6256 0.0000  6 Se 3.47-3.65, 3 Cs 3.66-3.75
Tl: 0.0000 0.0000 0.0000  2 Tl 3.75, 4 Cs 4.07
Tl: 0.5000 0.5000 0.0000  2 Tl 3.75, 4 Cs 4.07
Se: 0.1740 0.6740 0.5000  6 Cs 3.47-3.65, 2 Se 3.75
Se: 0.3260 0.1740 0.5000  6 Cs 3.47-3.65, 2 Se 3.75
Se: 0.6740 0.8260 0.5000  6 Cs 3.47-3.65, 2 Se 3.75
Se: 0.8260 0.3260 0.5000  6 Cs 3.47-3.65, 2 Se 3.75

## Properties
Formation energy (no corrections) ... -487 meV/atom
ΔE to the lowest computed polymorph ... 373 meV per atom
DFT total energy ... -2.70 eV per atom

No. 4
Here is TmBe4B2 after structural relaxation from Alexandria via LeMat-Bulk. Energies are from PBE-GGA.

Cell lengths 5.8904, 5.8904, 3.4335 Å; angles 90.00, 90.00, 146.02 degrees
Closest atoms and distances in Å follow each position.
Positions (direct):
Tm: 0.0000 0.0000 0.0000  8 B 2.62, 8 Be 2.69-2.70
Be: 0.1840 0.8160 0.5000  2 B 2.04, 4 Be 2.27-2.28
Be: 0.3158 0.6842 0.0000  2 B 2.04, 4 Be 2.27
Be: 0.6842 0.3158 0.0000  2 B 2.04, 4 Be 2.27
Be: 0.8160 0.1840 0.5000  2 B 2.04, 4 Be 2.27-2.28
B: 0.4138 0.5862 0.5000  1 B 1.94, 4 Be 2.04
B: 0.5862 0.4138 0.5000  1 B 1.94, 4 Be 2.04

## Properties
Energy of formation from the pure elements ... -242 meV per atom
DFT total energy ... -4.92 eV per atom

No. 5
Here is AlAg2Se after structural relaxation from Alexandria via LeMat-Bulk. Energies are from PBE-GGA.

Cell lengths 4.8065, 4.8065, 4.8065 Å; angles 60.00, 60.00, 60.00 degrees
Closest atoms and distances in Å follow each position.
Positions (direct):
Al: 0.0000 0.0000 0.0000  4 Se 2.94, 4 Ag 2.94
Ag: 0.5000 0.5000 0.5000  4 Se 2.94, 4 Ag 2.94
Ag: 0.7500 0.7500 0.7500  4 Ag 2.94, 4 Al 2.94
Se: 0.2500 0.2500 0.2500  4 Ag 2.94, 4 Al 2.94

## Properties
Formation energy (no corrections) ... 200 meV/atom
ΔE to the lowest computed polymorph ... 264 meV per atom
DFT total energy ... -3.03 eV per atom

No. 6
Here is K3Na2TlI6 after structural relaxation from Alexandria via LeMat-Bulk. Energies are from PBE-GGA.

Cell lengths 10.9736, 10.9736, 9.8806 Å; angles 102.86, 102.86, 25.84 degrees
Closest atoms and distances in Å follow each position.
Positions (direct):
K: 0.0000 0.0000 0.0000  6 I 3.47-3.58
K: 0.3364 0.3364 0.6671  6 I 3.50-3.61
K: 0.6636 0.6636 0.3329  6 I 3.50-3.61
Na: 0.3296 0.3296 0.1612  6 I 3.29-3.38
Na: 0.6704 0.6704 0.8388  6 I 3.29-3.38
Tl: 0.0000 0.0000 0.5000  6 I 3.50-3.51
I: 0.1684 0.1684 0.6028  2 Na 3.38, 3 K 3.50-3.61, 1 Tl 3.51
I: 0.1718 0.1718 0.0711  3 Na 3.29-3.35, 3 K 3.58-3.60
I: 0.4913 0.4913 0.2438  1 Na 3.37, 3 K 3.47-3.59, 2 Tl 3.50
I: 0.5087 0.5087 0.7562  1 Na 3.37, 3 K 3.47-3.59, 2 Tl 3.50
I: 0.8282 0.8282 0.9289  3 Na 3.29-3.35, 3 K 3.58-3.60
I: 0.8316 0.8316 0.3972  2 Na 3.38, 3 K 3.50-3.61, 1 Tl 3.51

## Properties
Formation energy (no corrections) ... -1260 meV/atom
DFT total energy ... -2.73 eV per atom

No. 7
Here is FeMoCl2 after structural relaxation from Alexandria via LeMat-Bulk. Energies are from PBE-GGA.

Cell lengths 3.1362, 3.0092, 8.5586 Å; angles 90.00, 91.30, 90.00 degrees
Closest atoms and distances in Å follow each position.
Positions (direct):
Fe: 0.0000 0.0000 0.0000  2 Cl 2.28
Mo: 0.5110 0.5000 0.1703  2 Cl 2.39, 4 Fe 2.62
Cl: 0.5264 0.0000 0.3876  2 Mo 2.39
Cl: 0.9901 0.5000 0.7997  2 Fe 2.28

## Properties
Formation energy (no corrections) ... -179 meV/atom
ΔE to the lowest computed polymorph ... 30 meV per atom
DFT total energy ... -5.93 eV per atom

No. 8
Here is Ba2GePdPb after structural relaxation from Alexandria via LeMat-Bulk. Energies are from PBE-GGA.

Cell lengths 6.1727, 6.1727, 4.7714 Å; angles 90.00, 90.00, 90.00 degrees
Closest atoms and distances in Å follow each position.
Positions (direct):
Ba: 0.0000 0.5000 0.0000  2 Pd 3.09
Ba: 0.5000 0.0000 0.0000  2 Pd 3.09
Ge: 0.0000 0.0000 0.5000  2 Pd 2.39
Pd: 0.0000 0.0000 0.0000  2 Ge 2.39
Pb: 0.5000 0.5000 0.5000  8 Ba 3.90, 4 Ge 4.36

## Properties
Energy of formation from the pure elements ... -427 meV per atom
DFT total energy ... -3.90 eV per atom

No. 9
Here is Ca2TlI after structural relaxation from Alexandria via LeMat-Bulk. Energies are from PBE-GGA.

Cell lengths 9.2924, 9.2924, 9.2924 Å; angles 26.11, 26.11, 26.11 degrees
Closest atoms and distances in Å follow each position.
Positions (direct):
Ca: 0.0000 0.0000 0.0000  3 Tl 3.20, 3 I 3.45
Ca: 0.1783 0.1783 0.1783  3 Tl 3.20, 3 I 3.37
Tl: 0.5892 0.5892 0.5892  6 Ca 3.20
I: 0.7581 0.7581 0.7581  6 Ca 3.37-3.45

## Properties
Formation energy (no corrections) ... -726 meV/atom
ΔE to the lowest computed polymorph ... 26 meV per atom
DFT total energy ... -2.71 eV per atom

No. 10
Here is TaFePt2 after structural relaxation from Alexandria via LeMat-Bulk. Energies are from PBE-GGA.

Cell lengths 2.7985, 3.9441, 5.5134 Å; angles 90.00, 90.11, 90.00 degrees
Closest atoms and distances in Å follow each position.
Positions (direct):
Ta: 0.0000 0.0000 0.0000  2 Fe 2.76, 2 Ta 2.80, 8 Pt 2.80
Fe: 0.0000 0.0000 0.5000  2 Ta 2.76, 8 Pt 2.76-2.77, 2 Fe 2.80
Pt: 0.5003 0.5000 0.2566  4 Pt 2.68-2.83, 4 Fe 2.76-2.77, 4 Ta 2.80
Pt: 0.4997 0.5000 0.7434  4 Pt 2.68-2.83, 4 Fe 2.76-2.77, 4 Ta 2.80

## Properties
Energy of formation from the pure elements ... -503 meV per atom
ΔE to the lowest computed polymorph ... 71 meV per atom
DFT total energy ... -8.60 eV per atom